This record from Alexandria via LeMat-Bulk describes a relaxed Ba2YSc crystal. The functional is GGA-PBE.

DFT total energy ... -3.79 eV per atom
Calculated volume ... 162.0 Å³/f.u.
SG ... No. 216
Offset from the most stable computed form ... 4.059 kcal/mol of atoms
Crystal system ... cubic
Energy of formation ... 0.366 eV/atom

a b c (Å): 6.119 6.119 6.119
angles (deg): 60.00 60.00 60.00
Fractional positions:
Ba 0.000 0.000 0.000
Ba 0.250 0.250 0.250
Y 0.750 0.750 0.750
Sc 0.500 0.500 0.500

***

This record from Alexandria via LeMat-Bulk describes a relaxed Na2ZrCl crystal. The functional is GGA-PBE.

DFT total energy ... -2.77 eV per atom
Raw formation energy ... 47 kJ/mol of atoms
Calculated volume ... 120.5 Å³/f.u.
SG ... No. 225
Offset from the most stable computed form ... 9.226 kcal/mol of atoms
Crystal system ... cubic

a b c (Å): 5.543 5.543 5.543
angles (deg): 60.00 60.00 60.00
Fractional positions:
Cl 0.000 0.000 0.000
Na 0.250 0.250 0.250
Na 0.750 0.750 0.750
Zr 0.500 0.500 0.500

***

This record from Alexandria via LeMat-Bulk describes a relaxed As2PRh crystal. The functional is GGA-PBE.

DFT total energy ... -5.31 eV per atom
Calculated volume ... 68.5 Å³/f.u.
SG ... No. 123
Crystal system ... tetragonal
Energy of formation ... 0.206 eV/atom

a b c (Å): 2.930 2.930 7.975
angles (deg): 90.00 90.00 90.01
Fractional positions:
P 0.500 0.500 0.250
As 0.000 0.000 0.959
As 0.000 0.000 0.541
Rh 0.500 0.500 0.750

***

This record from Alexandria via LeMat-Bulk describes a relaxed Tl2Bi2Rh crystal. The functional is GGA-PBE.

DFT total energy ... -3.92 eV per atom
Calculated volume ... 144.4 Å³/f.u.
SG ... No. 127
Crystal system ... tetragonal
Energy of formation ... 0.051 eV/atom

a b c (Å): 7.125 7.125 5.686
angles (deg): 90.00 90.00 90.00
Fractional positions:
Bi 0.654 0.154 0.000
Tl 0.331 0.169 0.500
Rh 0.000 0.000 0.000
Bi 0.154 0.346 0.000
Tl 0.669 0.831 0.500
Bi 0.346 0.846 0.000
Bi 0.846 0.654 0.000
Tl 0.831 0.331 0.500
Tl 0.169 0.669 0.500
Rh 0.500 0.500 0.000

***

This record from Alexandria via LeMat-Bulk describes a relaxed ZrInAs2 crystal. The functional is GGA-PBE.

DFT total energy ... -5.39 eV per atom
Calculated volume ... 82.1 Å³/f.u.
SG ... No. 71
Crystal system ... orthorhombic
Energy of formation ... -0.242 eV/atom

a b c (Å): 5.257 5.257 5.257
angles (deg): 136.76 122.25 74.80
Fractional positions:
As 0.003 0.003 0.000
As 0.497 0.497 0.000
In 0.250 0.750 0.500
Zr 0.750 0.250 0.500

***

This record from Alexandria via LeMat-Bulk describes a relaxed CdCu2Cl crystal. The functional is GGA-PBE.

DFT total energy ... -2.73 eV per atom
Raw formation energy ... 1 kJ/mol of atoms
Calculated volume ... 84.0 Å³/f.u.
SG ... No. 8
Offset from the most stable computed form ... 1.416 kcal/mol of atoms
Crystal system ... monoclinic

a b c (Å): 4.453 4.453 7.661
angles (deg): 56.28 56.28 43.61
Fractional positions:
Cd 0.539 0.539 0.589
Cu 0.949 0.949 0.918
Cu 0.726 0.726 0.784
Cl 0.286 0.286 0.209